# 1
{"formula": "TbCo2AsH", "functional": "GGA-PBE", "state": "relaxed", "density_g_cm3": 9.05, "energy_ev_per_atom": -5.944, "crystal_system": "orthorhombic", "lattice_angstrom": [[1.866, -5.103, 0.000], [1.866, 5.103, 0.000], [0.000, 0.000, 6.797]], "species": ["Tb", "Tb", "Co", "Co", "Co", "Co", "As", "As", "H", "H"], "fractional_positions": [[0.057, 0.943, 0.750], [0.943, 0.057, 0.250], [0.339, 0.661, 0.557], [0.339, 0.661, 0.943], [0.661, 0.339, 0.057], [0.661, 0.339, 0.443], [0.224, 0.776, 0.250], [0.776, 0.224, 0.750], [0.500, 0.500, 0.000], [0.500, 0.500, 0.500]]}

=====

# 2
{"formula": "ThCoAsH", "functional": "GGA-PBE", "state": "relaxed", "density_g_cm3": 10.19, "energy_ev_per_atom": -6.502, "crystal_system": "trigonal", "lattice_angstrom": [[4.202, 0.000, 0.000], [-2.101, 3.639, 0.000], [0.000, 0.000, 3.910]], "species": ["Th", "Co", "As", "H"], "fractional_positions": [[0.000, 0.000, 0.000], [0.667, 0.333, 0.545], [0.333, 0.667, 0.489], [0.667, 0.333, 0.975]]}

=====

# 3
{"formula": "TiCo2AsH", "functional": "GGA-PBE", "state": "relaxed", "density_g_cm3": 7.65, "energy_ev_per_atom": -6.334, "crystal_system": "tetragonal", "lattice_angstrom": [[3.685, 0.000, 0.000], [0.000, 3.685, 0.000], [0.000, 0.000, 3.860]], "species": ["Ti", "Co", "Co", "As", "H"], "fractional_positions": [[0.000, 0.000, 0.000], [0.000, 0.500, 0.500], [0.500, 0.000, 0.500], [0.500, 0.500, 0.000], [0.000, 0.000, 0.500]]}

=====

# 4
{"formula": "Ti2CoAsH", "functional": "GGA-PBE", "state": "relaxed", "density_g_cm3": 6.54, "energy_ev_per_atom": -6.672, "crystal_system": "tetragonal", "lattice_angstrom": [[3.976, 0.000, 0.000], [0.000, 3.976, 0.000], [0.000, 0.000, 3.702]], "species": ["Ti", "Ti", "Co", "As", "H"], "fractional_positions": [[0.000, 0.500, 0.000], [0.500, 0.000, 0.000], [0.000, 0.000, 0.500], [0.500, 0.500, 0.500], [0.000, 0.000, 0.000]]}

=====

# 5
{"formula": "TmCo2AsH", "functional": "GGA-PBE", "state": "relaxed", "density_g_cm3": 9.58, "energy_ev_per_atom": -5.920, "crystal_system": "orthorhombic", "lattice_angstrom": [[1.840, -5.044, 0.000], [1.840, 5.044, 0.000], [0.000, 0.000, 6.779]], "species": ["Tm", "Tm", "Co", "Co", "Co", "Co", "As", "As", "H", "H"], "fractional_positions": [[0.056, 0.944, 0.750], [0.944, 0.056, 0.250], [0.341, 0.659, 0.556], [0.341, 0.659, 0.944], [0.659, 0.341, 0.056], [0.659, 0.341, 0.444], [0.225, 0.775, 0.250], [0.775, 0.225, 0.750], [0.500, 0.500, 0.000], [0.500, 0.500, 0.500]]}

=====

# 6
{"formula": "UCoAsH", "functional": "GGA-PBE", "state": "relaxed", "density_g_cm3": 11.47, "energy_ev_per_atom": -7.194, "crystal_system": "trigonal", "lattice_angstrom": [[4.052, 0.000, 0.000], [-2.026, 3.509, 0.000], [0.000, 0.000, 3.796]], "species": ["U", "Co", "As", "H"], "fractional_positions": [[0.000, 0.000, 0.000], [0.667, 0.333, 0.405], [0.333, 0.667, 0.513], [0.667, 0.333, 0.968]]}

=====

# 7
{"formula": "V2CoAsH", "functional": "GGA-PBE", "state": "relaxed", "density_g_cm3": 7.44, "energy_ev_per_atom": -6.864, "crystal_system": "tetragonal", "lattice_angstrom": [[3.684, 0.000, 0.000], [0.000, 3.684, 0.000], [0.000, 0.000, 3.891]], "species": ["V", "V", "Co", "As", "H"], "fractional_positions": [[0.000, 0.500, 0.000], [0.500, 0.000, 0.000], [0.000, 0.000, 0.500], [0.500, 0.500, 0.500], [0.000, 0.000, 0.000]]}

=====

# 8
{"formula": "VCoAs2H", "functional": "GGA-PBE", "state": "relaxed", "density_g_cm3": 7.34, "energy_ev_per_atom": -5.566, "crystal_system": "tetragonal", "lattice_angstrom": [[4.260, 0.000, 0.000], [0.000, 4.260, 0.000], [0.000, 0.000, 3.252]], "species": ["V", "Co", "As", "As", "H"], "fractional_positions": [[0.000, 0.000, 0.000], [0.500, 0.500, 0.000], [0.000, 0.500, 0.500], [0.500, 0.000, 0.500], [0.000, 0.000, 0.500]]}